{"formula": "K2TiZnTe4", "functional": "PBE", "state": "optimized geometry", "e_form_raw_mev_per_atom": -730, "density_g_cm3": 3.74, "cell": [[5.5498, -5.0442, 0.0000], [5.5498, 5.0442, 0.0000], [-5.5492, 0.0000, 5.5609]], "species": ["K", "K", "Ti", "Zn", "Te", "Te", "Te", "Te"], "fractional_positions": [[0.0000, 0.0000, 0.0000], [0.7502, 0.2498, 0.5000], [0.4991, 0.5009, 0.0000], [0.2490, 0.7510, 0.5000], [0.2120, 0.4679, 0.0839], [0.3820, 0.1305, 0.5961], [0.5321, 0.7880, 0.9161], [0.8695, 0.6180, 0.4039]]}

***

{"formula": "La5Tb4Tm2", "functional": "PBE", "state": "optimized geometry", "density_g_cm3": 7.42, "delta_e_f_ev_per_atom": 0.08, "cell": [[8.9176, -1.7848, 0.0000], [8.9176, 1.7848, 0.0000], [-0.8007, 0.0000, 11.7266]], "species": ["La", "La", "La", "La", "La", "Tb", "Tb", "Tb", "Tb", "Tm", "Tm"], "fractional_positions": [[0.0000, 0.0000, 0.0000], [0.3228, 0.3228, 0.9262], [0.4026, 0.4026, 0.4641], [0.5974, 0.5974, 0.5359], [0.6772, 0.6772, 0.0738], [0.1410, 0.1410, 0.7970], [0.4625, 0.4625, 0.7369], [0.5375, 0.5375, 0.2631], [0.8590, 0.8590, 0.2030], [0.2155, 0.2155, 0.3521], [0.7845, 0.7845, 0.6479]]}

***

{"formula": "InFeOs2", "functional": "PBE", "state": "optimized geometry", "density_g_cm3": 14.63, "delta_e_f_ev_per_atom": 0.60, "cell": [[1.4608, -2.3814, 0.0000], [1.4608, 2.3814, 0.0000], [0.0000, 0.0000, 8.9929]], "species": ["In", "Fe", "Os", "Os"], "fractional_positions": [[0.0000, 0.0000, 0.0000], [0.0000, 0.0000, 0.5000], [0.5000, 0.5000, 0.2707], [0.5000, 0.5000, 0.7293]]}

***

{"formula": "Th2ZnHg", "functional": "PBE", "state": "optimized geometry", "density_g_cm3": 11.65, "delta_e_f_ev_per_atom": -0.16, "cell": [[4.8196, 0.0000, 0.0000], [0.0000, 4.8196, 0.0000], [0.0000, 0.0000, 4.4810]], "species": ["Th", "Th", "Zn", "Hg"], "fractional_positions": [[0.0000, 0.5000, 0.0000], [0.5000, 0.0000, 0.0000], [0.0000, 0.0000, 0.5000], [0.5000, 0.5000, 0.5000]]}

***

{"formula": "Ce2TcN5", "functional": "PBE", "state": "optimized geometry", "e_form_raw_mev_per_atom": -553, "density_g_cm3": 5.69, "cell": [[2.0296, -5.8346, 0.0000], [2.0296, 5.8346, 0.0000], [0.0000, 0.0000, 11.0405]], "species": ["Ce", "Ce", "Ce", "Ce", "Tc", "Tc", "N", "N", "N", "N", "N", "N", "N", "N", "N", "N"], "fractional_positions": [[0.1525, 0.8475, 0.5790], [0.1525, 0.8475, 0.9210], [0.8475, 0.1525, 0.0790], [0.8475, 0.1525, 0.4210], [0.1506, 0.8494, 0.2500], [0.8494, 0.1506, 0.7500], [0.0557, 0.9443, 0.1261], [0.0557, 0.9443, 0.3739], [0.2873, 0.7127, 0.7500], [0.2892, 0.7108, 0.0803], [0.2892, 0.7108, 0.4197], [0.7108, 0.2892, 0.5803], [0.7108, 0.2892, 0.9197], [0.7127, 0.2873, 0.2500], [0.9443, 0.0557, 0.6261], [0.9443, 0.0557, 0.8739]]}

***

{"formula": "Ac3Ga2AgAu6", "functional": "PBE", "state": "optimized geometry", "density_g_cm3": 11.26, "delta_e_f_ev_per_atom": -0.50, "cell": [[6.4831, 0.0000, 0.0000], [-3.2415, 5.6145, 0.0000], [0.0000, 0.0000, 8.5527]], "species": ["Ac", "Ac", "Ac", "Ga", "Ga", "Ag", "Au", "Au", "Au", "Au", "Au", "Au"], "fractional_positions": [[0.0000, 0.0000, 0.0000], [0.3333, 0.6667, 0.6402], [0.6667, 0.3333, 0.3598], [0.3333, 0.6667, 0.0305], [0.6667, 0.3333, 0.9695], [0.0000, 0.0000, 0.5000], [0.1834, 0.3668, 0.2812], [0.1834, 0.8166, 0.2812], [0.3668, 0.1834, 0.7188], [0.6332, 0.8166, 0.2812], [0.8166, 0.1834, 0.7188], [0.8166, 0.6332, 0.7188]]}

***

{"formula": "Y2CrAs", "functional": "PBE", "state": "optimized geometry", "density_g_cm3": 5.96, "delta_e_f_ev_per_atom": 0.14, "cell": [[0.0000, 3.4893, 3.4893], [3.4893, 0.0000, 3.4893], [3.4893, 3.4893, 0.0000]], "species": ["Y", "Y", "Cr", "As"], "fractional_positions": [[0.0000, 0.0000, 0.0000], [0.2500, 0.2500, 0.2500], [0.5000, 0.5000, 0.5000], [0.7500, 0.7500, 0.7500]]}

***

{"formula": "TaHgOs2", "functional": "PBE", "state": "optimized geometry", "density_g_cm3": 19.34, "delta_e_f_ev_per_atom": 0.37, "cell": [[4.1755, 0.0000, 0.0000], [0.0000, 4.1755, 0.0000], [0.0000, 0.0000, 3.7533]], "species": ["Ta", "Hg", "Os", "Os"], "fractional_positions": [[0.0000, 0.0000, 0.0000], [0.5000, 0.5000, 0.0000], [0.0000, 0.5000, 0.5000], [0.5000, 0.0000, 0.5000]]}

***

{"formula": "RbPr3Pu2Te6", "functional": "PBE", "state": "optimized geometry", "e_form_raw_mev_per_atom": -1262, "density_g_cm3": 7.15, "cell": [[10.0055, -2.2622, 0.0000], [10.0055, 2.2622, 0.0000], [-2.1861, 0.0000, 9.0330]], "species": ["Rb", "Pr", "Pr", "Pr", "Pu", "Pu", "Te", "Te", "Te", "Te", "Te", "Te"], "fractional_positions": [[0.0000, 0.0000, 0.0000], [0.0000, 0.0000, 0.5000], [0.3370, 0.3370, 0.1713], [0.6630, 0.6630, 0.8287], [0.3311, 0.3311, 0.6636], [0.6689, 0.6689, 0.3364], [0.1676, 0.1676, 0.5787], [0.1736, 0.1736, 0.0906], [0.4961, 0.4961, 0.7323], [0.5039, 0.5039, 0.2677], [0.8264, 0.8264, 0.9094], [0.8324, 0.8324, 0.4213]]}

***

{"formula": "Na6LiTl4", "functional": "PBE", "state": "optimized geometry", "density_g_cm3": 4.63, "delta_e_f_ev_per_atom": -0.04, "cell": [[-3.1378, 3.1378, 8.7552], [3.1378, -3.1378, 8.7552], [3.1378, 3.1378, -8.7552]], "species": ["Na", "Na", "Na", "Na", "Na", "Na", "Li", "Tl", "Tl", "Tl", "Tl"], "fractional_positions": [[0.0000, 0.5000, 0.5000], [0.0102, 0.6348, 0.0000], [0.3652, 0.3652, 0.3754], [0.5000, 0.0000, 0.5000], [0.6348, 0.0102, 0.0000], [0.9898, 0.9898, 0.6246], [0.5000, 0.5000, 0.0000], [0.1804, 0.1804, 0.6350], [0.4546, 0.8196, 0.0000], [0.5454, 0.5454, 0.3650], [0.8196, 0.4546, 0.0000]]}

***

{"formula": "KRbHg", "functional": "PBE", "state": "optimized geometry", "density_g_cm3": 3.30, "delta_e_f_ev_per_atom": -0.17, "cell": [[5.0947, 0.0000, 0.0000], [-0.0016, 7.2806, 0.0000], [-2.4518, -1.7840, 8.8230]], "species": ["K", "K", "Rb", "Rb", "Hg", "Hg"], "fractional_positions": [[0.0000, 0.0000, 0.0000], [0.4311, 0.4555, 0.8517], [0.1783, 0.5806, 0.3270], [0.7534, 0.1219, 0.4871], [0.3636, 0.9105, 0.7142], [0.8284, 0.6616, 0.6408]]}

***

{"formula": "NaYMgBr6", "functional": "PBE", "state": "optimized geometry", "e_form_raw_mev_per_atom": -1667, "density_g_cm3": 3.54, "cell": [[7.0693, 0.0000, 0.0000], [-3.5347, 6.1222, 0.0000], [0.0000, 0.0000, 13.3461]], "species": ["Na", "Na", "Y", "Y", "Mg", "Mg", "Br", "Br", "Br", "Br", "Br", "Br", "Br", "Br", "Br", "Br", "Br", "Br"], "fractional_positions": [[0.0000, 0.0000, 0.0000], [0.0000, 0.0000, 0.5000], [0.3333, 0.6667, 0.2500], [0.6667, 0.3333, 0.7500], [0.3333, 0.6667, 0.7500], [0.6667, 0.3333, 0.2500], [0.0118, 0.3638, 0.6326], [0.0118, 0.6480, 0.8674], [0.3520, 0.3638, 0.8674], [0.3520, 0.9882, 0.6326], [0.3638, 0.0118, 0.1326], [0.3638, 0.3520, 0.3674], [0.6362, 0.6480, 0.6326], [0.6362, 0.9882, 0.8674], [0.6480, 0.0118, 0.3674], [0.6480, 0.6362, 0.1326], [0.9882, 0.3520, 0.1326], [0.9882, 0.6362, 0.3674]]}

***

{"formula": "KCaTlS2", "functional": "PBE", "state": "optimized geometry", "e_form_raw_mev_per_atom": -69, "density_g_cm3": 3.32, "cell": [[5.6443, 0.0000, 0.0000], [0.0000, 5.6443, 0.0000], [0.0000, 0.0000, 5.4651]], "species": ["K", "Ca", "Tl", "S", "S"], "fractional_positions": [[0.0000, 0.0000, 0.0000], [0.5000, 0.5000, 0.0000], [0.5000, 0.5000, 0.5000], [0.0000, 0.5000, 0.5000], [0.5000, 0.0000, 0.5000]]}

***

{"formula": "Ta6S", "functional": "PBE", "state": "optimized geometry", "e_form_raw_mev_per_atom": -2, "density_g_cm3": 14.53, "cell": [[5.6744, 0.0000, 0.0000], [1.3473, 5.9310, 0.0000], [0.4820, 2.3258, 7.5922]], "species": ["Ta", "Ta", "Ta", "Ta", "Ta", "Ta", "Ta", "Ta", "Ta", "Ta", "Ta", "Ta", "S", "S"], "fractional_positions": [[0.0000, 0.0000, 0.0000], [0.0000, 0.5000, 0.0000], [0.0651, 0.1751, 0.3351], [0.2018, 0.6327, 0.2854], [0.3099, 0.3805, 0.7666], [0.4533, 0.7688, 0.5252], [0.4787, 0.7565, 0.8883], [0.5213, 0.2435, 0.1117], [0.5467, 0.2312, 0.4748], [0.6901, 0.6195, 0.2334], [0.7982, 0.3673, 0.7146], [0.9349, 0.8249, 0.6649], [0.2024, 0.0858, 0.6599], [0.7976, 0.9142, 0.3401]]}

***

{"formula": "ThGaBr6", "functional": "PBE", "state": "optimized geometry", "e_form_raw_mev_per_atom": -1226, "density_g_cm3": 4.62, "cell": [[3.5490, 2.0490, 6.4340], [-3.5490, 2.0490, 6.4340], [0.0000, -4.0981, 6.4340]], "species": ["Th", "Ga", "Br", "Br", "Br", "Br", "Br", "Br"], "fractional_positions": [[0.0000, 0.0000, 0.0000], [0.5000, 0.5000, 0.5000], [0.1019, 0.4057, 0.7483], [0.2517, 0.8981, 0.5943], [0.4057, 0.7483, 0.1019], [0.5943, 0.2517, 0.8981], [0.7483, 0.1019, 0.4057], [0.8981, 0.5943, 0.2517]]}

***

{"formula": "Nd4PaBi5", "functional": "PBE", "state": "optimized geometry", "density_g_cm3": 9.06, "delta_e_f_ev_per_atom": -0.77, "cell": [[-5.1197, 5.1197, 3.2383], [5.1197, -5.1197, 3.2383], [5.1197, 5.1197, -3.2383]], "species": ["Nd", "Nd", "Nd", "Nd", "Pa", "Bi", "Bi", "Bi", "Bi", "Bi"], "fractional_positions": [[0.0972, 0.3021, 0.3993], [0.3021, 0.9028, 0.2048], [0.6979, 0.0972, 0.7952], [0.9028, 0.6979, 0.6007], [0.5000, 0.5000, 0.0000], [0.0000, 0.0000, 0.0000], [0.2071, 0.5982, 0.8053], [0.4018, 0.2071, 0.6090], [0.5982, 0.7929, 0.3910], [0.7929, 0.4018, 0.1947]]}

***

{"formula": "CaGaAuCl2", "functional": "PBE", "state": "optimized geometry", "e_form_raw_mev_per_atom": -762, "density_g_cm3": 4.60, "cell": [[5.2356, 0.0000, 0.0000], [0.0000, 5.2356, 0.0000], [0.0000, 0.0000, 4.9762]], "species": ["Ca", "Ga", "Au", "Cl", "Cl"], "fractional_positions": [[0.0000, 0.0000, 0.0000], [0.5000, 0.5000, 0.5000], [0.5000, 0.5000, 0.0000], [0.0000, 0.5000, 0.5000], [0.5000, 0.0000, 0.5000]]}

***

{"formula": "NaHoCo4", "functional": "PBE", "state": "optimized geometry", "density_g_cm3": 7.89, "delta_e_f_ev_per_atom": 0.10, "cell": [[0.0000, 3.5459, 3.5459], [3.5459, 0.0000, 3.5459], [3.5459, 3.5459, 0.0000]], "species": ["Na", "Ho", "Co", "Co", "Co", "Co"], "fractional_positions": [[0.0000, 0.0000, 0.0000], [0.2500, 0.2500, 0.2500], [0.1254, 0.6249, 0.6249], [0.6249, 0.1254, 0.6249], [0.6249, 0.6249, 0.1254], [0.6249, 0.6249, 0.6249]]}

***

{"formula": "TaRe2SiTc", "functional": "PBE", "state": "optimized geometry", "e_form_raw_mev_per_atom": 1913, "density_g_cm3": 10.90, "cell": [[4.6707, 0.0000, 0.0000], [0.0000, 4.6707, 0.0000], [0.0000, 0.0000, 4.7463]], "species": ["Ta", "Re", "Re", "Si", "Tc"], "fractional_positions": [[0.0000, 0.0000, 0.0000], [0.0000, 0.5000, 0.5000], [0.5000, 0.0000, 0.5000], [0.5000, 0.5000, 0.0000], [0.0000, 0.0000, 0.5000]]}

***

{"formula": "LiPrGdBe", "functional": "PBE", "state": "optimized geometry", "density_g_cm3": 5.53, "delta_e_f_ev_per_atom": 0.15, "cell": [[0.0000, 3.6135, 3.6135], [3.6135, 0.0000, 3.6135], [3.6135, 3.6135, 0.0000]], "species": ["Li", "Pr", "Gd", "Be"], "fractional_positions": [[0.0000, 0.0000, 0.0000], [0.7500, 0.7500, 0.7500], [0.2500, 0.2500, 0.2500], [0.5000, 0.5000, 0.5000]]}

***

{"formula": "Na2MgBe2O4", "functional": "PBE", "state": "optimized geometry", "e_form_raw_mev_per_atom": -2219, "density_g_cm3": 2.76, "cell": [[5.8076, -1.4697, 0.0000], [5.8076, 1.4697, 0.0000], [-2.8605, 0.0000, 5.3678]], "species": ["Na", "Na", "Mg", "Be", "Be", "O", "O", "O", "O"], "fractional_positions": [[0.1218, 0.1218, 0.0394], [0.8782, 0.8782, 0.9606], [0.0000, 0.0000, 0.5000], [0.3290, 0.3290, 0.5322], [0.6710, 0.6710, 0.4678], [0.2177, 0.2177, 0.6375], [0.4794, 0.4794, 0.7163], [0.5206, 0.5206, 0.2837], [0.7823, 0.7823, 0.3625]]}

***

{"formula": "Pr2Mg2Zn", "functional": "PBE", "state": "optimized geometry", "density_g_cm3": 4.92, "delta_e_f_ev_per_atom": -0.06, "cell": [[2.4005, -8.1646, 0.0000], [2.4005, 8.1646, 0.0000], [0.0000, 0.0000, 3.4061]], "species": ["Pr", "Pr", "Mg", "Mg", "Zn"], "fractional_positions": [[0.0988, 0.9012, 0.0000], [0.9012, 0.0988, 0.0000], [0.2993, 0.7007, 0.5000], [0.7007, 0.2993, 0.5000], [0.5000, 0.5000, 0.5000]]}

***

{"formula": "CdCoW", "functional": "PBE", "state": "optimized geometry", "density_g_cm3": 12.72, "delta_e_f_ev_per_atom": 0.33, "cell": [[-1.4073, 1.4073, 5.8550], [1.4073, -1.4073, 5.8550], [1.4073, 1.4073, -5.8550]], "species": ["Cd", "Co", "W"], "fractional_positions": [[0.0000, 0.0000, 0.0000], [0.3305, 0.3305, 0.0000], [0.6989, 0.6989, 0.0000]]}

***

{"formula": "Li3Ti2MnSe6", "functional": "PBE", "state": "optimized geometry", "e_form_raw_mev_per_atom": -1055, "density_g_cm3": 4.63, "cell": [[3.2299, -5.6356, 0.0000], [3.2299, 5.6356, 0.0000], [-2.1756, 0.0000, 6.3540]], "species": ["Li", "Li", "Li", "Ti", "Ti", "Mn", "Se", "Se", "Se", "Se", "Se", "Se"], "fractional_positions": [[0.0000, 0.0000, 0.0000], [0.3396, 0.6604, 0.0000], [0.6604, 0.3396, 0.0000], [0.1728, 0.8272, 0.5000], [0.8272, 0.1728, 0.5000], [0.5000, 0.5000, 0.5000], [0.0815, 0.4199, 0.2619], [0.2380, 0.2380, 0.7291], [0.4199, 0.0815, 0.2619], [0.5801, 0.9185, 0.7381], [0.7620, 0.7620, 0.2709], [0.9185, 0.5801, 0.7381]]}